[1]
# DyS8

A relaxed structure of DyS8 (PBE, Alexandria).

Lattice parameters (Å, degrees): 4.2978 7.7021 7.7021 85.54 73.80 73.80
Closest atoms and distances in Å follow each position.
Element x y z (fractional)
S 0.4014 0.5986 0.5986  1 S 2.06
S 0.6192 0.7616 0.0000  2 S 2.49, 2 Dy 2.78
S 0.3808 0.0000 0.2384  2 S 2.49, 2 Dy 2.78
S 0.5986 0.4014 0.4014  1 S 2.06
Dy 0.0000 0.0000 0.0000  8 S 2.78
S 0.3808 0.2384 0.0000  2 S 2.49, 2 Dy 2.78
S 0.0000 0.4014 0.5986  1 S 2.06
S 0.6192 0.0000 0.7616  2 S 2.49, 2 Dy 2.78
S 0.0000 0.5986 0.4014  1 S 2.06

## Properties
ΔE_f (raw) in eV/atom: 0.17
Fermi-level density of states in states/eV per cell: 9.987



[2]
# Dy6Sb5S

A relaxed structure of Dy6Sb5S (PBE, Alexandria).

Lattice parameters (Å, degrees): 7.4693 7.4693 7.4693 99.65 99.65 119.86
Closest atoms and distances in Å follow each position.
Element x y z (fractional)
Dy 0.0801 0.4018 0.2417  1 S 2.94, 5 Sb 3.05-3.11
Dy 0.5982 0.9199 0.7583  1 S 2.94, 5 Sb 3.05-3.11
Sb 0.6656 0.3344 0.0000  6 Dy 3.06-3.07
Dy 0.2390 0.2390 0.7508  1 S 2.98, 5 Sb 3.06-3.13
Dy 0.9199 0.5982 0.7583  1 S 2.94, 5 Sb 3.05-3.11
Sb 0.3344 0.6656 0.0000  6 Dy 3.06-3.07
S 0.0000 0.0000 0.0000  6 Dy 2.94-2.98
Sb 0.5000 0.5000 0.5000  6 Dy 3.05-3.13
Sb 0.8284 0.1716 0.5000  6 Dy 3.05-3.11
Dy 0.7610 0.7610 0.2492  1 S 2.98, 5 Sb 3.06-3.13
Dy 0.4018 0.0801 0.2417  1 S 2.94, 5 Sb 3.05-3.11
Sb 0.1716 0.8284 0.5000  6 Dy 3.05-3.11

## Properties
ΔE_f (raw) in eV/atom: -1.26
Fermi-level density of states in states/eV per cell: 3.409



[3]
# DySb2S6

A relaxed structure of DySb2S6 (PBE, Alexandria).

Lattice parameters (Å, degrees): 6.1137 6.1137 12.1706 90.00 90.00 90.00
Closest atoms and distances in Å follow each position.
Element x y z (fractional)
S 0.6973 0.6973 0.3282  2 Sb 2.61-2.62, 1 Dy 2.70
Sb 0.5000 0.5000 0.8346  6 S 2.58-2.62
Sb 0.0000 0.0000 0.6654  6 S 2.58-2.62
S 0.8027 0.1973 0.8282  2 Sb 2.61-2.62, 1 Dy 2.70
S 0.8027 0.1973 0.1718  2 Sb 2.61-2.62, 1 Dy 2.70
Dy 0.5000 0.5000 0.5000  6 S 2.70-2.71
S 0.3027 0.3027 0.3282  2 Sb 2.61-2.62, 1 Dy 2.70
Dy 0.0000 0.0000 0.0000  6 S 2.70-2.71
S 0.1861 0.8139 0.5000  2 Sb 2.58, 1 Dy 2.71
S 0.8139 0.1861 0.5000  2 Sb 2.58, 1 Dy 2.71
S 0.3027 0.3027 0.6718  2 Sb 2.61-2.62, 1 Dy 2.70
Sb 0.5000 0.5000 0.1654  6 S 2.58-2.62
Sb 0.0000 0.0000 0.3346  6 S 2.58-2.62
S 0.6861 0.6861 0.0000  2 Sb 2.58, 1 Dy 2.71
S 0.1973 0.8027 0.1718  2 Sb 2.61-2.62, 1 Dy 2.70
S 0.3139 0.3139 0.0000  2 Sb 2.58, 1 Dy 2.71
S 0.6973 0.6973 0.6718  2 Sb 2.61-2.62, 1 Dy 2.70
S 0.1973 0.8027 0.8282  2 Sb 2.61-2.62, 1 Dy 2.70

## Properties
ΔE_f (raw) in eV/atom: -0.46
Fermi-level density of states in states/eV per cell: 8.795



[4]
# Dy4SbS2

A relaxed structure of Dy4SbS2 (PBE, Alexandria).

Lattice parameters (Å, degrees): 4.0496 6.7650 13.2476 90.00 90.00 107.42
Closest atoms and distances in Å follow each position.
Element x y z (fractional)
Sb 0.3902 0.7805 0.2500  6 Dy 3.04-3.15
Dy 0.7642 0.5284 0.1161  3 S 2.68-2.75
S 0.8675 0.7350 0.5590  6 Dy 2.67-2.76
Dy 0.5000 0.0000 0.5000  4 S 2.76
Dy 0.9337 0.8673 0.7500  2 S 2.67
S 0.1325 0.2650 0.4410  6 Dy 2.67-2.76
Dy 0.0663 0.1327 0.2500  2 S 2.67
S 0.1325 0.2650 0.0590  6 Dy 2.67-2.76
Dy 0.2358 0.4716 0.8839  3 S 2.68-2.75
Dy 0.7642 0.5284 0.3839  3 S 2.68-2.75
Sb 0.6098 0.2195 0.7500  6 Dy 3.04-3.15
Dy 0.5000 0.0000 0.0000  4 S 2.76
Dy 0.2358 0.4716 0.6161  3 S 2.68-2.75
S 0.8675 0.7350 0.9410  6 Dy 2.67-2.76

## Properties
ΔE_f (raw) in eV/atom: -1.48
Fermi-level density of states in states/eV per cell: 6.141



[5]
# Dy2SbS5

A relaxed structure of Dy2SbS5 (PBE, Alexandria).

Lattice parameters (Å, degrees): 5.2757 7.1628 12.9635 90.00 90.00 111.61
Closest atoms and distances in Å follow each position.
Element x y z (fractional)
S 0.6975 0.3950 0.9157  3 Dy 2.71-2.77, 1 Sb 2.77
Sb 0.1710 0.3421 0.2500  6 S 2.51-2.77
Dy 0.8449 0.6897 0.0663  6 S 2.70-2.84
Dy 0.8449 0.6897 0.4337  6 S 2.70-2.84
S 0.6975 0.3950 0.5843  3 Dy 2.71-2.77, 1 Sb 2.77
Dy 0.1551 0.3103 0.9337  6 S 2.70-2.84
S 0.0439 0.0878 0.3924  1 Sb 2.51, 2 Dy 2.70
S 0.9561 0.9122 0.6076  1 Sb 2.51, 2 Dy 2.70
Sb 0.8290 0.6579 0.7500  6 S 2.51-2.77
Dy 0.1551 0.3103 0.5663  6 S 2.70-2.84
S 0.3025 0.6050 0.0843  3 Dy 2.71-2.77, 1 Sb 2.77
S 0.9561 0.9122 0.8924  1 Sb 2.51, 2 Dy 2.70
S 0.7290 0.4579 0.2500  2 Sb 2.75, 2 Dy 2.84
S 0.2710 0.5421 0.7500  2 Sb 2.75, 2 Dy 2.84
S 0.3025 0.6050 0.4157  3 Dy 2.71-2.77, 1 Sb 2.77
S 0.0439 0.0878 0.1076  1 Sb 2.51, 2 Dy 2.70

## Properties
ΔE_f (raw) in eV/atom: -1.27
Fermi-level density of states in states/eV per cell: 4.835
Offset from the most stable computed form in eV per atom: 0.051



[6]
# Dy3Sb2S

A relaxed structure of Dy3Sb2S (PBE, Alexandria).

Lattice parameters (Å, degrees): 6.0229 9.4316 9.4316 142.75 90.00 90.00
Closest atoms and distances in Å follow each position.
Element x y z (fractional)
Dy 0.9930 0.9058 0.5944  1 S 2.78, 4 Sb 3.02
S 0.9930 0.7500 0.7500  6 Dy 2.78-3.01
Dy 0.4930 0.7502 0.7502  4 S 3.01, 2 Sb 3.02
Dy 0.9930 0.5944 0.9058  1 S 2.78, 4 Sb 3.02
Dy 0.4930 0.4056 0.0942  1 S 2.78, 4 Sb 3.02
S 0.4930 0.2500 0.2500  6 Dy 2.78-3.01
Sb 0.9930 0.0814 0.4188  6 Dy 3.02-3.14
Sb 0.9930 0.4188 0.0814  6 Dy 3.02-3.14
Sb 0.4930 0.5812 0.9186  6 Dy 3.02-3.14
Dy 0.9930 0.2498 0.2498  4 S 3.01, 2 Sb 3.02
Sb 0.4930 0.9186 0.5812  6 Dy 3.02-3.14
Dy 0.4930 0.0942 0.4056  1 S 2.78, 4 Sb 3.02

## Properties
ΔE_f (raw) in eV/atom: -1.36
Fermi-level density of states in states/eV per cell: 5.469
Offset from the most stable computed form in eV per atom: 0.028



[7]
# Dy2SbS5

A relaxed structure of Dy2SbS5 (PBE, Alexandria).

Lattice parameters (Å, degrees): 3.8901 7.6932 11.4085 90.00 90.00 90.00
Closest atoms and distances in Å follow each position.
Element x y z (fractional)
Dy 0.5000 0.5271 0.1734  8 S 2.78-2.98
Sb 0.0000 0.5000 0.5000  6 S 2.62-2.66
S 0.5000 0.3275 0.6003  2 Sb 2.62, 2 Dy 2.81-2.85
Sb 0.0000 0.0000 0.0000  6 S 2.62-2.66
S 0.0000 0.3178 0.3020  1 Sb 2.66, 4 Dy 2.92-2.98
S 0.0000 0.8178 0.1980  1 Sb 2.66, 4 Dy 2.92-2.98
S 0.0000 0.1822 0.8020  1 Sb 2.66, 4 Dy 2.92-2.98
S 0.5000 0.6725 0.3997  2 Sb 2.62, 2 Dy 2.81-2.85
S 0.0000 0.0000 0.5000  4 Dy 2.78
S 0.5000 0.1725 0.1003  2 Sb 2.62, 2 Dy 2.81-2.85
Dy 0.5000 0.0271 0.3266  8 S 2.78-2.98
S 0.5000 0.8275 0.8997  2 Sb 2.62, 2 Dy 2.81-2.85
S 0.0000 0.6822 0.6980  1 Sb 2.66, 4 Dy 2.92-2.98
S 0.0000 0.5000 0.0000  4 Dy 2.78
Dy 0.5000 0.9729 0.6734  8 S 2.78-2.98
Dy 0.5000 0.4729 0.8266  8 S 2.78-2.98

## Properties
ΔE_f (raw) in eV/atom: -1.32
Fermi-level density of states in states/eV per cell: 3.830
Offset from the most stable computed form in eV per atom: 0.000



[8]
# DySbS4

A relaxed structure of DySbS4 (PBE, Alexandria).

Lattice parameters (Å, degrees): 6.7133 6.2188 7.8844 108.20 110.47 101.12
Closest atoms and distances in Å follow each position.
Element x y z (fractional)
Sb 0.0921 0.8421 0.6843  6 S 2.46-2.69
S 0.2857 0.5417 0.5676  2 Sb 2.59-2.69, 1 Dy 2.86
S 0.9514 0.2843 0.0602  1 Sb 2.46, 1 Dy 2.69
S 0.7143 0.4583 0.4324  2 Sb 2.59-2.69, 1 Dy 2.86
S 0.7819 0.0259 0.5676  2 Sb 2.59-2.69, 1 Dy 2.86
S 0.2181 0.9741 0.4324  2 Sb 2.59-2.69, 1 Dy 2.86
Dy 0.3664 0.6164 0.2328  6 S 2.69-2.87
Dy 0.6336 0.3836 0.7672  6 S 2.69-2.87
Sb 0.9079 0.1579 0.3157  6 S 2.46-2.69
S 0.6088 0.7760 0.0602  1 Sb 2.46, 1 Dy 2.69
S 0.3912 0.2240 0.9398  1 Sb 2.46, 1 Dy 2.69
S 0.0486 0.7157 0.9398  1 Sb 2.46, 1 Dy 2.69

## Properties
ΔE_f (raw) in eV/atom: -0.78
Fermi-level density of states in states/eV per cell: 1.903